# ZrInTeN2 PBE optimized geometry
# Relative energy among the computed polymorphs ... 0.965 eV/atom
# N(E_F) ... 1.013 states/eV per atom
# Formation energy (no corrections) ... 1.21 eV per atom
# Electronic total energy ... -5.001 eV per atom
data_ZrInTeN2
_symmetry_space_group_name_H-M 'P 4/m m m'
_symmetry_Int_Tables_number 123
_symmetry_space_group_name_Hall '-P 4 2'
_cell_length_a 4.235
_cell_length_b 4.235
_cell_length_c 5.854
_cell_angle_alpha 90.00
_cell_angle_beta 90.00
_cell_angle_gamma 90.00
loop_
_atom_site_label
_atom_site_fract_x
_atom_site_fract_y
_atom_site_fract_z
Zr1 0.000 0.000 0.000
In1 0.500 0.500 0.500
Te1 0.500 0.500 0.000
N1 0.000 0.500 0.500

# Er8Ir5Au PBE optimized geometry
# DFT formation energy ... -11.42 eV/f.u.
# N(E_F) ... 0.202 states/eV per atom
# Electronic total energy ... -6.822 eV per atom
data_Er8Ir5Au
_symmetry_space_group_name_H-M 'I -4'
_symmetry_Int_Tables_number 82
_cell_length_a 8.587
_cell_length_b 8.587
_cell_length_c 8.536
_cell_angle_alpha 90.00
_cell_angle_beta 90.00
_cell_angle_gamma 90.00
loop_
_symmetry_equiv_pos_as_xyz
'x,y,z'
'y,-x,-z'
'-x,-y,z'
'-y,x,-z'
'x+1/2,y+1/2,z+1/2'
'y+1/2,-x+1/2,-z+1/2'
'-x+1/2,-y+1/2,z+1/2'
'-y+1/2,x+1/2,-z+1/2'
loop_
_atom_site_label
_atom_site_fract_x
_atom_site_fract_y
_atom_site_fract_z
Er1 0.065 0.312 0.431
Er2 0.069 0.176 0.809
Ir1 0.000 0.000 0.500
Ir2 0.130 0.247 0.120
Au1 0.000 0.500 0.750

The calculation returns the following size of the total moment values, one per record and in order: 0.0; 0.0 μB per cell.